No. 1
# RbH6IrPb, relaxed, DFT PBE
# DOS at the Fermi energy	0.000	states/eV/cell
# VASP energy	-3.895	eV per atom
data_RbH6IrPb
_cell_length_a 5.1352
_cell_length_b 5.1361
_cell_length_c 5.5351
_cell_angle_alpha 89.94
_cell_angle_beta 89.89
_cell_angle_gamma 59.98
_symmetry_space_group_name_H-M 'P 1'
_symmetry_Int_Tables_number 1
loop_
_symmetry_equiv_pos_as_xyz
'x,y,z'
loop_
_atom_site_label
_atom_site_fract_x
_atom_site_fract_y
_atom_site_fract_z
Ir1 0.3336 0.3332 0.5189
H1 0.6511 0.1745 0.3559
H2 0.0356 0.4823 0.7100
H3 0.1765 0.1756 0.3533
H4 0.4803 0.0373 0.7114
Rb1 0.9989 0.0003 0.9112
H5 0.1766 0.6482 0.3532
H6 0.4806 0.4818 0.7112
Pb1 0.6666 0.6669 0.3748

---

No. 2
# CsRb2Np3O12, relaxed, DFT PBE
# formation energy (no corrections)	-2.4535	eV per atom
data_CsRb2Np3O12
_cell_length_a 7.8790
_cell_length_b 7.8790
_cell_length_c 7.8790
_cell_angle_alpha 61.40
_cell_angle_beta 61.40
_cell_angle_gamma 61.40
_symmetry_space_group_name_H-M 'P 1'
_symmetry_Int_Tables_number 1
loop_
_symmetry_equiv_pos_as_xyz
'x,y,z'
loop_
_atom_site_label
_atom_site_fract_x
_atom_site_fract_y
_atom_site_fract_z
O1 0.2747 0.8924 0.2747
Np1 0.0000 0.5000 0.0000
Cs1 0.0000 0.0000 0.0000
Rb1 0.6161 0.6161 0.6161
Np2 0.0000 0.0000 0.5000
Rb2 0.3839 0.3839 0.3839
O2 0.1076 0.7253 0.7253
O3 0.2747 0.2747 0.8924
O4 0.5308 0.1254 0.1254
O5 0.8746 0.8746 0.4692
O6 0.8746 0.4692 0.8746
O7 0.7253 0.1076 0.7253
O8 0.1254 0.1254 0.5308
O9 0.7253 0.7253 0.1076
O10 0.1254 0.5308 0.1254
O11 0.8924 0.2747 0.2747
Np3 0.5000 0.0000 0.0000
O12 0.4692 0.8746 0.8746